Computed, not measured: a relaxed Pa2Si2Tc2B crystal at the GGA-PBE level of DFT.

Geometry as CIF:
```
data_Pa2Si2Tc2B
_chemical_formula_sum 'Pa2 Si2 Tc2 B1'
_space_group_name_H-M_alt 'P 1'
_space_group_IT_number 1
_cell_length_a 5.743
_cell_length_b 5.743
_cell_length_c 6.619
_cell_angle_alpha 123.70
_cell_angle_beta 123.70
_cell_angle_gamma 43.81
loop_
_space_group_symop_operation_xyz
'x,y,z'
loop_
_atom_site_label
_atom_site_type_symbol
_atom_site_fract_x
_atom_site_fract_y
_atom_site_fract_z
Pa1 Pa 0.066 0.066 0.338
Pa2 Pa 0.934 0.934 0.662
Si1 Si 0.355 0.355 0.900
Si2 Si 0.645 0.645 0.100
Tc1 Tc 0.276 0.276 0.182
Tc2 Tc 0.724 0.724 0.818
B1 B 0.500 0.500 0.500
```

Computed properties:
ΔE_f (raw): -3.865 eV per formula unit
Volume: 121.1 Å³ per cell
D(E_F): 0.90 states/eV per atom
Total DFT energy (no corrections): -8.7303 eV/atom
Space group: C2/m (12)